Material: BeZnTe2
Method: DFT, PBE
State: optimized geometry

a = 12.419 Å, b = 11.182 Å, c = 12.439 Å
α = 90.00°, β = 97.55°, γ = 90.00°
Space group C2/c (No. 15)
Symmetry-distinct sites (fractional):
Be: 0.070 0.237 0.179 x8
Be: 0.178 0.148 0.579 x8
Zn: 0.113 0.418 0.633 x8
Zn: 0.128 0.099 0.876 x8
Te: 0.000 0.053 0.250 x4
Te: 0.000 0.435 0.250 x4
Te: 0.002 0.236 0.519 x8
Te: 0.222 0.490 0.984 x8
Te: 0.232 0.247 0.751 x8

Output
E above lowest polymorph = 0.79 eV per formula unit

***

Material: Te5Os4
Method: DFT, PBE
State: optimized geometry

a = 10.341 Å, b = 10.341 Å, c = 3.711 Å
α = 90.00°, β = 90.00°, γ = 90.00°
Space group I4/mmm (No. 139)
Symmetry-distinct sites (fractional):
Te: 0.000 0.000 0.000 x2
Te: 0.169 0.169 0.500 x8
Os: 0.000 0.373 0.000 x8

Output
E above lowest polymorph = 1.86 eV per formula unit

***

Material: MgVIn2N4
Method: DFT, PBE
State: optimized geometry

a = 4.852 Å, b = 4.852 Å, c = 9.673 Å
α = 90.00°, β = 90.00°, γ = 90.00°
Space group I-42m (No. 121)
Symmetry-distinct sites (fractional):
Mg: 0.000 0.000 0.000 x2
V: 0.000 0.000 0.500 x2
In: 0.000 0.500 0.250 x4
N: 0.226 0.226 0.609 x8

***

In the order shown, the computed energy relative to the elements, uncorrected values come out to -0.209; 1.116; -0.340 eV/atom.